# Pm2DyEr5Sc | Alexandria via LeMat-Bulk | GGA-PBE | optimized geometry
data_Pm2DyEr5Sc
_chemical_formula_sum 'Pm4 Dy2 Er10 Sc2'
_cell_length_a 9.8039
_cell_length_b 9.8039
_cell_length_c 9.8039
_cell_angle_alpha 128.71
_cell_angle_beta 128.71
_cell_angle_gamma 75.47
_symmetry_space_group_name_H-M 'P 1'
_symmetry_Int_Tables_number 1
loop_
_symmetry_equiv_pos_as_xyz
'x,y,z'
loop_
_atom_site_label
_atom_site_type_symbol
_atom_site_fract_x
_atom_site_fract_y
_atom_site_fract_z
_atom_site_occupancy
Pm1 Pm 0.1191 0.6191 0.7383 1
Pm2 Pm 0.3809 0.1191 0.5000 1
Pm3 Pm 0.6191 0.8809 0.5000 1
Pm4 Pm 0.8809 0.3809 0.2617 1
Dy1 Dy 0.2500 0.2500 0.0000 1
Dy2 Dy 0.7500 0.7500 0.0000 1
Er1 Er 0.0000 0.0000 0.0000 1
Er2 Er 0.0669 0.1489 0.5000 1
Er3 Er 0.1489 0.6489 0.0821 1
Er4 Er 0.3511 0.4331 0.5000 1
Er5 Er 0.4331 0.9331 0.0821 1
Er6 Er 0.5000 0.5000 0.0000 1
Er7 Er 0.5669 0.0669 0.9179 1
Er8 Er 0.6489 0.5669 0.5000 1
Er9 Er 0.8511 0.3511 0.9179 1
Er10 Er 0.9331 0.8511 0.5000 1
Sc1 Sc 0.2500 0.7500 0.5000 1
Sc2 Sc 0.7500 0.2500 0.5000 1
# Final energy in eV per atom: -4.527
# V in A^3/atom: 31.016
# SG: No. 140

---

# Tm5Cd2In | Alexandria via LeMat-Bulk | GGA-PBE | optimized geometry
data_Tm5Cd2In
_chemical_formula_sum 'Tm10 Cd4 In2'
_cell_length_a 8.7185
_cell_length_b 8.7185
_cell_length_c 8.7185
_cell_angle_alpha 124.18
_cell_angle_beta 124.18
_cell_angle_gamma 82.90
_symmetry_space_group_name_H-M 'P 1'
_symmetry_Int_Tables_number 1
loop_
_symmetry_equiv_pos_as_xyz
'x,y,z'
loop_
_atom_site_label
_atom_site_type_symbol
_atom_site_fract_x
_atom_site_fract_y
_atom_site_fract_z
_atom_site_occupancy
Tm1 Tm 0.0000 0.0000 0.0000 1
Tm2 Tm 0.9997 0.4997 0.1917 1
Tm3 Tm 0.0003 0.5003 0.8083 1
Tm4 Tm 0.1921 0.0003 0.5000 1
Tm5 Tm 0.3079 0.8079 0.8083 1
Tm6 Tm 0.4997 0.3079 0.5000 1
Tm7 Tm 0.5000 0.5000 0.0000 1
Tm8 Tm 0.5003 0.6921 0.5000 1
Tm9 Tm 0.6921 0.1921 0.1917 1
Tm10 Tm 0.8079 0.9997 0.5000 1
Cd1 Cd 0.1376 0.3624 0.5000 1
Cd2 Cd 0.3624 0.8624 0.2248 1
Cd3 Cd 0.6376 0.1376 0.7752 1
Cd4 Cd 0.8624 0.6376 0.5000 1
In1 In 0.2500 0.2500 0.0000 1
In2 In 0.7500 0.7500 0.0000 1
# Final energy in eV per atom: -3.599
# V in A^3/atom: 27.209
# SG: No. 140

---

# LiSbAsI2 | Alexandria via LeMat-Bulk | GGA-PBE | optimized geometry
data_LiSbAsI2
_chemical_formula_sum 'Li1 Sb1 As1 I2'
_cell_length_a 6.0130
_cell_length_b 6.0130
_cell_length_c 5.3184
_cell_angle_alpha 90.00
_cell_angle_beta 90.00
_cell_angle_gamma 90.00
_symmetry_space_group_name_H-M 'P 1'
_symmetry_Int_Tables_number 1
loop_
_symmetry_equiv_pos_as_xyz
'x,y,z'
loop_
_atom_site_label
_atom_site_type_symbol
_atom_site_fract_x
_atom_site_fract_y
_atom_site_fract_z
_atom_site_occupancy
Li1 Li 0.0000 0.0000 0.0000 1
Sb1 Sb 0.5000 0.5000 0.0000 1
As1 As 0.5000 0.5000 0.5000 1
I1 I 0.0000 0.5000 0.5000 1
I2 I 0.5000 0.0000 0.5000 1
# Formation energy (no corrections) in meV per atom: 123.8
# Excess energy over the best structure of this formula in the dataset in eV per formula unit: 0.00
# V in A^3/atom: 38.459
# SG: No. 123